Below is a relaxed La2YPaN5 crystal, with properties calculated at the PBE-GGA level.

a b c (Å): 4.175 4.175 9.085
angles (deg): 90.00 90.00 90.00
Positions (direct):
La1 0.000 0.000 0.233
La2 0.000 0.000 0.767
Y1 0.500 0.500 0.500
Pa1 0.500 0.500 0.000
N1 0.000 0.000 0.500
N2 0.000 0.500 0.000
N3 0.500 0.000 0.000
N4 0.500 0.500 0.256
N5 0.500 0.500 0.744

Values from the calculation:
formation energy without anion corrections	-1.1595	eV per atom
SG	P4/mmm
Fermi-level density of states	4.60	states/eV per cell

Below is a relaxed AcTbSm14 crystal, with properties calculated at the PBE-GGA level.

a b c (Å): 11.757 7.381 7.381
angles (deg): 59.96 90.00 90.00
Positions (direct):
Ac1 0.000 0.000 0.000
Tb1 0.000 0.501 0.501
Sm1 0.000 0.502 0.998
Sm2 0.000 0.998 0.502
Sm3 0.249 0.334 0.334
Sm4 0.253 0.336 0.833
Sm5 0.253 0.833 0.336
Sm6 0.254 0.833 0.833
Sm7 0.500 0.001 0.001
Sm8 0.500 0.001 0.500
Sm9 0.500 0.500 0.001
Sm10 0.500 0.500 0.500
Sm11 0.746 0.833 0.833
Sm12 0.747 0.336 0.833
Sm13 0.747 0.833 0.336
Sm14 0.751 0.334 0.334

Values from the calculation:
SG	Amm2
formation energy from the elements	0.0361	eV/atom
Fermi-level density of states	29.82	states/eV per cell

Below is a relaxed Hg2B2W crystal, with properties calculated at the PBE-GGA level.

a b c (Å): 9.588 9.588 9.588
angles (deg): 163.13 163.13 23.95
Positions (direct):
Hg1 0.122 0.122 0.000
Hg2 0.878 0.878 0.000
B1 0.250 0.750 0.500
B2 0.750 0.250 0.500
W1 0.500 0.500 0.000

Values from the calculation:
SG	I4/mmm
formation energy from the elements	1.2257	eV/atom
Fermi-level density of states	3.72	states/eV per cell
energy above the most stable polymorph in this dataset	0	meV per atom

Below is a relaxed GaHg3Os crystal, with properties calculated at the PBE-GGA level.

a b c (Å): 5.262 5.262 5.262
angles (deg): 90.00 90.00 90.00
Positions (direct):
Ga1 0.000 0.000 0.000
Hg1 0.000 0.500 0.500
Hg2 0.500 0.000 0.500
Hg3 0.500 0.500 0.000
Os1 0.500 0.500 0.500

Values from the calculation:
SG	Pm-3m
formation energy from the elements	0.7405	eV/atom
Fermi-level density of states	3.53	states/eV per cell
energy above the most stable polymorph in this dataset	0	meV per atom

Below is a relaxed ZrOs5 crystal, with properties calculated at the PBE-GGA level.

a b c (Å): 5.301 5.301 6.664
angles (deg): 103.68 103.68 30.63
Positions (direct):
Zr1 0.000 0.000 0.000
Os1 0.272 0.272 0.049
Os2 0.334 0.334 0.655
Os3 0.622 0.622 0.704
Os4 0.679 0.679 0.337
Os5 0.949 0.949 0.396

Values from the calculation:
SG	Cm
formation energy from the elements	-0.0017	eV/atom
Fermi-level density of states	4.27	states/eV per cell
energy above the most stable polymorph in this dataset	41	meV per atom

Below is a relaxed Nd4Dy7Y crystal, with properties calculated at the PBE-GGA level.

a b c (Å): 6.759 6.759 12.836
angles (deg): 115.02 115.02 52.18
Positions (direct):
Nd1 0.057 0.057 0.331
Nd2 0.361 0.361 0.222
Nd3 0.639 0.639 0.778
Nd4 0.943 0.943 0.669
Dy1 0.000 0.000 0.000
Dy2 0.210 0.210 0.923
Dy3 0.253 0.253 0.686
Dy4 0.364 0.364 0.496
Dy5 0.636 0.636 0.504
Dy6 0.747 0.747 0.314
Dy7 0.790 0.790 0.077
Y1 0.500 0.500 0.000

Values from the calculation:
SG	C2/m
formation energy from the elements	0.2665	eV/atom
Fermi-level density of states	20.11	states/eV per cell
energy above the most stable polymorph in this dataset	181	meV per atom

- The lowest Fermi-level density of states belongs to which entry?
  GaHg3Os